Entry from Alexandria via LeMat-Bulk: an optimized crystal structure of Rb2ZnBi2 (PBE-GGA).

a = 6.9159 Å, b = 6.9159 Å, c = 8.9762 Å
α = 85.69°, β = 85.69°, γ = 69.64°
Positions (direct):
Rb 0.4473 0.2213 0.1538
Rb 0.7787 0.5527 0.3462
Rb 0.5527 0.7787 0.8462
Rb 0.2213 0.4473 0.6538
Zn 0.0099 0.9901 0.2500
Zn 0.9901 0.0099 0.7500
Bi 0.7254 0.0606 0.5097
Bi 0.9394 0.2746 0.9903
Bi 0.2746 0.9394 0.4903
Bi 0.0606 0.7254 0.0097

Results
relative energy among the computed polymorphs: 0 meV per atom
total moment: 0.00 μB per atom
ΔH_f (0 K): -1.27 eV per formula unit
raw total energy: -2.448 eV per atom